Run i
Density functional theory data (PBE-GGA) for a relaxed structure of Sc3SnH.

Computed properties:
Total magnetization in μB per formula unit: 1.470
Density of states at the Fermi level in states/eV per cell: 5.634

Structure (POSCAR):
```
Sc3SnH
1.0
4.4842 0.0000 0.0000
0.0000 4.4842 0.0000
0.0000 0.0000 4.4842
Sc Sn H
3 1 1
Cartesian
0.0000 0.0000 2.2421 Sc
0.0000 2.2421 0.0000 Sc
2.2421 0.0000 0.0000 Sc
2.2421 2.2421 2.2421 Sn
0.0000 0.0000 0.0000 H
```



Run ii
Density functional theory data (PBE-GGA) for a relaxed structure of Sc3SnH.

Computed properties:
Total magnetization in μB per formula unit: 0.000
Density of states at the Fermi level in states/eV per cell: 9.404

Structure (POSCAR):
```
Sc3SnH
1.0
6.0963 0.0000 0.0000
0.0000 3.2738 0.0000
-1.5281 0.0000 9.6423
Sc Sn H
6 2 2
Cartesian
-0.0594 0.8184 3.5599 Sc
0.0063 0.8184 8.6105 Sc
1.4583 2.4553 6.1142 Sc
3.1098 0.8184 3.5282 Sc
4.5618 2.4553 1.0318 Sc
4.6276 2.4553 6.0825 Sc
1.5189 2.4553 1.5074 Sn
3.0493 0.8184 8.1350 Sn
0.0114 0.8184 6.4687 H
4.5568 2.4553 3.1737 H
```



Which is more stable than every other structure shown? run i is more stable than every other one.